The following is a PBE-GGA calculation of an optimized crystal structure of RbTcSe2Br, from the Alexandria database.

raw total energy = -13.13 eV per cell
E above lowest polymorph = 1.803 eV per atom
formation energy (no corrections) = 660.8 kJ/mol of formula units

Cell: 5.6916 5.6916 5.9812 Å, 90.00 90.00 90.00°
Closest atoms and distances in Å follow each position.
Space group P4/mmm (No. 123)
Asymmetric unit:
Rb 0.0000 0.0000 0.0000 x1  4 Se 2.85, 2 Br 2.99
Tc 0.5000 0.5000 0.5000 x1  4 Br 4.02, 8 Se 4.13
Se 0.0000 0.5000 0.0000 x2  2 Rb 2.85
Br 0.0000 0.0000 0.5000 x1  2 Rb 2.99

The following is a PBE-GGA calculation of an optimized crystal structure of RbTcSe2Br, from the Alexandria database.

raw total energy = -22.14 eV per cell
E above lowest polymorph = 0.000 eV per atom
formation energy (no corrections) = -208.8 kJ/mol of formula units

Cell: 4.8782 4.8782 5.7267 Å, 90.00 90.00 90.00°
Closest atoms and distances in Å follow each position.
Space group P4/mmm (No. 123)
Asymmetric unit:
Rb 0.0000 0.0000 0.0000 x1  4 Br 3.45, 8 Se 3.76
Tc 0.5000 0.5000 0.5000 x1  4 Se 2.44
Se 0.0000 0.5000 0.5000 x2  2 Tc 2.44
Br 0.5000 0.5000 0.0000 x1  2 Tc 2.86

The following is a PBE-GGA calculation of an optimized crystal structure of Rb2TeSeBr6, from the Alexandria database.

raw total energy = -52.82 eV per cell
formation energy (no corrections) = -753.9 kJ/mol of formula units

Cell: 8.0934 8.0934 11.1853 Å, 90.00 90.00 90.00°
Closest atoms and distances in Å follow each position.
Space group I4/mmm (No. 139)
Asymmetric unit:
Rb 0.0000 0.5000 0.2500 x4  12 Br 4.00-4.05
Te 0.0000 0.0000 0.0000 x2  6 Br 2.85
Se 0.0000 0.0000 0.5000 x2  6 Br 2.74-2.88
Br 0.0000 0.0000 0.2547 x4  1 Se 2.74, 1 Te 2.85
Br 0.2488 0.2488 0.0000 x8  1 Te 2.85, 1 Se 2.88

The following is a PBE-GGA calculation of an optimized crystal structure of RbTeSeBr2, from the Alexandria database.

raw total energy = -8.67 eV per cell
E above lowest polymorph = 1.090 eV per atom
formation energy (no corrections) = 218.9 kJ/mol of formula units

Cell: 6.2921 6.2921 6.4190 Å, 90.00 90.00 90.00°
Closest atoms and distances in Å follow each position.
Space group P4/mmm (No. 123)
Asymmetric unit:
Rb 0.0000 0.0000 0.0000 x1  4 Br 3.15, 2 Se 3.21
Te 0.5000 0.5000 0.5000 x1  4 Se 4.45, 8 Br 4.49
Se 0.0000 0.0000 0.5000 x1  2 Rb 3.21
Br 0.0000 0.5000 0.0000 x2  2 Rb 3.15